Density functional theory data (PBE) for a relaxed structure of GdLuNiHg.

Unit cell a=5.026 b=5.026 c=5.026 alpha=60.00 beta=60.00 gamma=60.00
Last column: magnetic moment on the atom in μB.
Atoms (fractional coordinates):
1 Hg 0.500 0.500 0.500  0.00
2 Ni 0.000 0.000 0.000  -0.03
3 Lu 0.750 0.750 0.750  0.01
4 Gd 0.250 0.250 0.250  7.01

Summary:
Crystal system ... cubic
Volume ... 22.45 A^3/atom
Formation energy from the elements ... -137 kJ/mol of formula units